Material: CaPt
Method: DFT, PBE
State: relaxed

Output
* spin magnetization: 0.0 μB per formula unit
* SG: P-6m2, No. 187
* ΔH_f (0 K): -0.6249 eV/atom

Lattice parameters (Å, degrees): 4.0329 4.0329 3.5460 90.00 90.00 120.00
Fractional positions:
Ca  0.0000  0.0000  0.0000
Pt  0.3333  0.6667  0.5000